Material: KYSc2
Method: DFT, PBE-GGA
State: optimized geometry

abc: 6.3563 6.3563 3.3866
angles: 90.00 90.00 111.43
Each line ends with the local moment (μB).
Sites, in units of the cell vectors:
K (0.0000, 0.5000, 0.5000)  0.02
Sc (0.0000, 0.0000, 0.0000)  0.45
Sc (0.5000, 0.5000, 0.0000)  0.45
Y (0.5000, 0.0000, 0.5000)  0.18

Values from the calculation:
SG: No. 65
E above lowest polymorph: 1.11 eV/f.u.
Formation energy: 0.57 eV per atom